Record 1
Density functional theory data (PBE) for a geometry-optimized NaCr2Ge2 structure.

Cell and atoms, written as CIF:
```
data_NaCr2Ge2
_symmetry_space_group_name_H-M 'P 4/m b m'
_symmetry_Int_Tables_number 127
_symmetry_space_group_name_Hall '-P 4 2ab'
_cell_length_a 7.555
_cell_length_b 7.555
_cell_length_c 2.701
_cell_angle_alpha 90.00
_cell_angle_beta 90.00
_cell_angle_gamma 90.00
loop_
_atom_site_label
_atom_site_type_symbol
_atom_site_fract_x
_atom_site_fract_y
_atom_site_fract_z
Na1 Na 0.000 0.000 0.000
Cr1 Cr 0.099 0.401 0.000
Ge1 Ge 0.183 0.683 0.500
```

Record 2
Density functional theory data (PBE) for a geometry-optimized NaCrGe2 structure.

Cell and atoms, written as CIF:
```
data_NaCrGe2
_symmetry_space_group_name_H-M 'F m -3 m'
_symmetry_Int_Tables_number 225
_symmetry_space_group_name_Hall '-F 4 2 3'
_cell_length_a 6.651
_cell_length_b 6.651
_cell_length_c 6.651
_cell_angle_alpha 90.00
_cell_angle_beta 90.00
_cell_angle_gamma 90.00
loop_
_atom_site_label
_atom_site_type_symbol
_atom_site_fract_x
_atom_site_fract_y
_atom_site_fract_z
Na1 Na 0.000 0.000 0.000
Cr1 Cr 0.000 0.000 0.500
Ge1 Ge 0.250 0.250 0.250
```

Record 3
Density functional theory data (PBE) for a geometry-optimized NaCrGe structure.

Cell and atoms, written as CIF:
```
data_NaCrGe
_symmetry_space_group_name_H-M 'I 4/m m m'
_symmetry_Int_Tables_number 139
_symmetry_space_group_name_Hall '-I 4 2'
_cell_length_a 3.508
_cell_length_b 3.508
_cell_length_c 17.682
_cell_angle_alpha 90.00
_cell_angle_beta 90.00
_cell_angle_gamma 90.00
loop_
_atom_site_label
_atom_site_type_symbol
_atom_site_fract_x
_atom_site_fract_y
_atom_site_fract_z
Na1 Na 0.000 0.000 0.186
Cr1 Cr 0.000 0.500 0.000
Ge1 Ge 0.000 0.000 0.396
```

Record 4
Density functional theory data (PBE) for a geometry-optimized NaCrGe structure.

Cell and atoms, written as CIF:
```
data_NaCrGe
_symmetry_space_group_name_H-M 'P -1'
_symmetry_Int_Tables_number 2
_cell_length_a 3.014
_cell_length_b 4.369
_cell_length_c 9.979
_cell_angle_alpha 83.26
_cell_angle_beta 89.73
_cell_angle_gamma 69.98
loop_
_symmetry_equiv_pos_as_xyz
'x,y,z'
'-x,-y,-z'
loop_
_atom_site_label
_atom_site_type_symbol
_atom_site_fract_x
_atom_site_fract_y
_atom_site_fract_z
Na1 Na 0.169 0.176 0.152
Cr1 Cr 0.341 0.814 0.548
Ge1 Ge 0.082 0.330 0.650
```

Record 5
Density functional theory data (PBE) for a geometry-optimized NaCrGe structure.

Cell and atoms, written as CIF:
```
data_NaCrGe
_symmetry_space_group_name_H-M 'P 1 21/m 1'
_symmetry_Int_Tables_number 11
_cell_length_a 4.139
_cell_length_b 3.171
_cell_length_c 8.169
_cell_angle_alpha 90.00
_cell_angle_beta 91.87
_cell_angle_gamma 90.00
loop_
_symmetry_equiv_pos_as_xyz
'x,y,z'
'-x,-y,-z'
'-x,y+1/2,-z'
'x,-y+1/2,z'
loop_
_atom_site_label
_atom_site_type_symbol
_atom_site_fract_x
_atom_site_fract_y
_atom_site_fract_z
Na1 Na 0.239 0.250 0.375
Cr1 Cr 0.203 0.750 0.026
Ge1 Ge 0.272 0.250 0.790
```

Record 6
Density functional theory data (PBE) for a geometry-optimized NaCrGe structure.

Cell and atoms, written as CIF:
```
data_NaCrGe
_symmetry_space_group_name_H-M 'R -3 m'
_symmetry_Int_Tables_number 166
_symmetry_space_group_name_Hall '-R 3 2"'
_cell_length_a 3.9735
_cell_length_b 3.9735
_cell_length_c 28.2461
_cell_angle_alpha 90.00
_cell_angle_beta 90.00
_cell_angle_gamma 120.00
loop_
_atom_site_label
_atom_site_type_symbol
_atom_site_fract_x
_atom_site_fract_y
_atom_site_fract_z
Na1 Na 0.0000 0.0000 0.2185
Cr1 Cr 0.0000 0.0000 0.3369
Ge1 Ge 0.0000 0.0000 0.0479
```

Record 7
Density functional theory data (PBE) for a geometry-optimized NaCrGe structure.

Cell and atoms, written as CIF:
```
data_NaCrGe
_symmetry_space_group_name_H-M 'P -1'
_symmetry_Int_Tables_number 2
_cell_length_a 2.908
_cell_length_b 5.000
_cell_length_c 8.148
_cell_angle_alpha 72.39
_cell_angle_beta 86.93
_cell_angle_gamma 80.93
loop_
_symmetry_equiv_pos_as_xyz
'x,y,z'
'-x,-y,-z'
loop_
_atom_site_label
_atom_site_type_symbol
_atom_site_fract_x
_atom_site_fract_y
_atom_site_fract_z
Na1 Na 0.011 0.311 0.377
Cr1 Cr 0.086 0.803 0.998
Ge1 Ge 0.498 0.873 0.245
```

The records above yield magnetization values of 0.00; 3.76; 0.00; 0.00; 0.00; 0.00; 0.02 μB per formula unit, respectively.
The records above yield energy above the most stable polymorph in this dataset values of 0.000; 0.110; 0.163; 0.067; 0.109; 0.096; 0.265 eV per atom, respectively.